Entry 1:
DFT (PBEsol) results for crystalline BaYBr at its relaxed geometry.

Cell lengths 8.3984, 8.0559, 3.7568 Å; angles 81.95, 71.76, 26.29 degrees
With the nearest neighbours (Å) after each atom.
Element x y z (fractional)
Ba 0.0000 0.0000 0.0000  2 Br 3.37, 2 Y 3.63, 4 Ba 3.76
Y 0.6922 0.6922 0.3078  2 Br 2.96
Br 0.3286 0.3286 0.6714  2 Y 2.96

Summary:
formation energy (no corrections)	-0.684	eV per atom
size of the total moment	0.0	μB per cell
final energy	-4.298	eV/atom
symmetry	Fmm2

***

Entry 2:
DFT (PBEsol) results for crystalline Ba2YBr at its relaxed geometry.

Cell lengths 3.8519, 6.1789, 6.3206 Å; angles 90.00, 90.33, 90.00 degrees
With the nearest neighbours (Å) after each atom.
Element x y z (fractional)
Ba 0.0000 0.0000 0.0000  2 Br 3.48-3.50, 4 Y 3.66-3.68, 2 Ba 3.85
Ba 0.0056 0.5000 0.5665  4 Y 3.66-3.75, 4 Br 3.69-3.71, 2 Ba 3.85
Y 0.5041 0.5000 0.0732  8 Ba 3.66-3.75, 2 Y 3.85, 2 Br 3.94
Br 0.5090 0.0000 0.4596  6 Ba 3.48-3.71, 2 Br 3.85

Summary:
relative energy among the computed polymorphs	0	meV/atom
formation energy (no corrections)	-0.398	eV per atom
size of the total moment	0.0	μB per cell
final energy	-3.645	eV/atom
symmetry	Pm

***

Entry 3:
DFT (PBEsol) results for crystalline BaY2Br at its relaxed geometry.

Cell lengths 3.6431, 5.7450, 6.3586 Å; angles 90.00, 90.00, 90.00 degrees
With the nearest neighbours (Å) after each atom.
Element x y z (fractional)
Ba 0.0000 0.0000 0.0000  4 Br 3.40, 2 Ba 3.64, 4 Y 3.66
Y 0.0000 0.5000 0.5000  6 Y 3.40-3.64, 4 Br 3.66
Y 0.5000 0.0000 0.5000  6 Y 3.40-3.64, 4 Ba 3.66
Br 0.5000 0.5000 0.0000  4 Ba 3.40, 2 Br 3.64, 4 Y 3.66

Summary:
relative energy among the computed polymorphs	159	meV/atom
formation energy (no corrections)	-0.267	eV per atom
size of the total moment	0.0	μB per cell
final energy	-4.682	eV/atom
symmetry	Pmmm

***

Entry 4:
DFT (PBEsol) results for crystalline Ba2YBr7 at its relaxed geometry.

Cell lengths 9.5965, 9.5965, 10.9203 Å; angles 124.09, 124.09, 52.35 degrees
With the nearest neighbours (Å) after each atom.
Element x y z (fractional)
Ba 0.1809 0.2060 0.2934  8 Br 3.21-3.43
Ba 0.2060 0.1809 0.7934  8 Br 3.21-3.43
Ba 0.7940 0.8191 0.2066  8 Br 3.21-3.43
Ba 0.8191 0.7940 0.7066  8 Br 3.21-3.43
Y 0.4541 0.5459 0.2500  7 Br 2.85-2.99
Y 0.5459 0.4541 0.7500  7 Br 2.85-2.99
Br 0.1011 0.8989 0.2500  1 Y 2.99, 2 Ba 3.21
Br 0.1514 0.6049 0.5606  1 Y 2.93, 1 Ba 3.21
Br 0.1823 0.4363 0.1580  1 Y 2.85
Br 0.2526 0.5699 0.9391  1 Y 2.88
Br 0.3951 0.8486 0.9394  1 Y 2.93, 1 Ba 3.21
Br 0.4301 0.7474 0.5609  1 Y 2.88
Br 0.4363 0.1823 0.6580  1 Y 2.85
Br 0.5637 0.8177 0.3420  1 Y 2.85
Br 0.5699 0.2526 0.4391  1 Y 2.88
Br 0.6049 0.1514 0.0606  1 Y 2.93, 1 Ba 3.21
Br 0.7474 0.4301 0.0609  1 Y 2.88
Br 0.8177 0.5637 0.8420  1 Y 2.85
Br 0.8486 0.3951 0.4394  1 Y 2.93, 1 Ba 3.21
Br 0.8989 0.1011 0.7500  1 Y 2.99, 2 Ba 3.21

Summary:
formation energy (no corrections)	-2.011	eV per atom
size of the total moment	0.0	μB per cell
final energy	-4.432	eV/atom
symmetry	C2/c

***

Entry 5:
DFT (PBEsol) results for crystalline BaY2Br at its relaxed geometry.

Cell lengths 10.7512, 10.7512, 10.7512 Å; angles 19.80, 19.80, 19.80 degrees
With the nearest neighbours (Å) after each atom.
Element x y z (fractional)
Ba 0.0000 0.0000 0.0000  6 Ba 3.70, 6 Y 3.76
Y 0.2355 0.2355 0.2355  3 Br 3.05
Y 0.7645 0.7645 0.7645  3 Br 3.05
Br 0.5000 0.5000 0.5000  6 Y 3.05

Summary:
relative energy among the computed polymorphs	0	meV/atom
formation energy (no corrections)	-0.425	eV per atom
size of the total moment	0.0	μB per cell
final energy	-4.841	eV/atom
symmetry	R-3m

***

Entry 6:
DFT (PBEsol) results for crystalline BaZrBr4 at its relaxed geometry.

Cell lengths 6.3083, 6.3083, 6.3083 Å; angles 60.00, 60.00, 60.00 degrees
With the nearest neighbours (Å) after each atom.
Element x y z (fractional)
Ba 0.0000 0.0000 0.0000  12 Br 3.70, 4 Zr 3.86
Zr 0.2500 0.2500 0.2500  12 Br 3.70, 4 Ba 3.86
Br 0.1272 0.6243 0.6243  6 Br 3.14-3.17
Br 0.6243 0.1272 0.6243  6 Br 3.14-3.17
Br 0.6243 0.6243 0.1272  6 Br 3.14-3.17
Br 0.6243 0.6243 0.6243  6 Br 3.14-3.17

Summary:
formation energy (no corrections)	-0.082	eV per atom
size of the total moment	2.2	μB per cell
final energy	-3.202	eV/atom
symmetry	F-43m

***

Entry 7:
DFT (PBEsol) results for crystalline BaC at its relaxed geometry.

Cell lengths 8.7274, 8.7274, 8.7274 Å; angles 23.48, 23.48, 23.48 degrees
With the nearest neighbours (Å) after each atom.
Element x y z (fractional)
Ba 0.0758 0.0758 0.0758  6 C 2.81-2.82
Ba 0.9242 0.9242 0.9242  6 C 2.81-2.82
C 0.3334 0.3334 0.3334  3 C 2.05
C 0.6666 0.6666 0.6666  3 C 2.05

Summary:
size of the total moment	0.0	μB per cell
final energy	-4.778	eV/atom
symmetry	R-3m

***

Entry 8:
DFT (PBEsol) results for crystalline BaC at its relaxed geometry.

Cell lengths 3.5520, 3.5520, 16.9628 Å; angles 90.00, 90.00, 120.00 degrees
With the nearest neighbours (Å) after each atom.
Element x y z (fractional)
Ba 0.3333 0.6667 0.1363  6 C 2.82
Ba 0.3333 0.6667 0.3637  6 C 2.82
Ba 0.6667 0.3333 0.6363  6 C 2.82
Ba 0.6667 0.3333 0.8637  6 C 2.82
C 0.0000 0.0000 0.2500  3 C 2.05
C 0.0000 0.0000 0.7500  3 C 2.05
C 0.3333 0.6667 0.7500  3 C 2.05
C 0.6667 0.3333 0.2500  3 C 2.05

Summary:
size of the total moment	0.0	μB per cell
final energy	-4.778	eV/atom
symmetry	P6_3/mmc

***

Entry 9:
DFT (PBEsol) results for crystalline BaC2 at its relaxed geometry.

Cell lengths 2.9055, 2.9055, 5.0303 Å; angles 90.00, 90.00, 90.00 degrees
With the nearest neighbours (Å) after each atom.
Element x y z (fractional)
Ba 0.0000 0.0000 0.0000  8 C 2.90, 4 Ba 2.91
C 0.0000 0.5000 0.5000  4 C 2.05
C 0.5000 0.0000 0.5000  4 C 2.05

Summary:
size of the total moment	0.0	μB per cell
final energy	-4.758	eV/atom
symmetry	P4/mmm

***

Entry 10:
DFT (PBEsol) results for crystalline BaC2 at its relaxed geometry.

Cell lengths 5.4037, 5.4037, 5.4037 Å; angles 116.93, 116.93, 95.41 degrees
With the nearest neighbours (Å) after each atom.
Element x y z (fractional)
Ba 0.2500 0.2500 0.0000  8 C 3.03
Ba 0.7500 0.7500 0.0000  8 C 3.03
C 0.0788 0.5788 0.6577  1 C 1.26
C 0.4212 0.0788 0.5000  1 C 1.26
C 0.5788 0.9212 0.5000  1 C 1.26
C 0.9212 0.4212 0.3423  1 C 1.26

Summary:
size of the total moment	0.0	μB per cell
final energy	-6.844	eV/atom
symmetry	I4/mcm

***

Entry 11:
DFT (PBEsol) results for crystalline BaC2 at its relaxed geometry.

Cell lengths 5.3435, 5.3435, 5.3435 Å; angles 147.84, 147.84, 46.12 degrees
With the nearest neighbours (Å) after each atom.
Element x y z (fractional)
Ba 0.0000 0.0000 0.0000  10 C 2.74-3.02, 4 Ba 2.96
C 0.2788 0.2788 0.0000  4 C 2.17
C 0.7212 0.7212 0.0000  4 C 2.17

Summary:
size of the total moment	0.0	μB per cell
final energy	-4.785	eV/atom
symmetry	I4/mmm

***

Entry 12:
DFT (PBEsol) results for crystalline BaC2 at its relaxed geometry.

Cell lengths 5.7253, 5.7253, 5.7345 Å; angles 90.00, 90.00, 151.75 degrees
With the nearest neighbours (Å) after each atom.
Element x y z (fractional)
Ba 0.1185 0.8815 0.7500  2 Ba 2.79, 8 C 2.88-3.04
Ba 0.8815 0.1185 0.2500  2 Ba 2.79, 8 C 2.88-3.04
C 0.1552 0.8448 0.2500  2 C 1.47
C 0.3853 0.6147 0.7500  2 C 1.47
C 0.6147 0.3853 0.2500  2 C 1.47
C 0.8448 0.1552 0.7500  2 C 1.47

Summary:
size of the total moment	0.0	μB per cell
final energy	-6.512	eV/atom
symmetry	Cmcm